# 1
Computed, not measured: crystalline InCu2Cl8 at its relaxed geometry at the PBE level of DFT.

Cell: 6.368 7.580 7.580 Å, 89.65 76.10 76.10°
Fractional positions:
In 0.000 0.000 0.000
Cu 0.341 0.189 0.189
Cu 0.659 0.811 0.811
Cl 0.809 0.055 0.741
Cl 0.191 0.259 0.945
Cl 0.659 0.225 0.225
Cl 0.341 0.775 0.775
Cl 0.809 0.741 0.055
Cl 0.191 0.945 0.259
Cl 0.163 0.425 0.425
Cl 0.837 0.575 0.575

Computed properties:
DOS(E_F)	7.55	states/eV/cell
E_form (uncorrected)	-0.59	eV/atom
space-group type	No. 12

***

# 2
Computed, not measured: crystalline La4AgC at its relaxed geometry at the PBE level of DFT.

Cell: 6.479 7.795 8.607 Å, 110.53 104.69 105.73°
Fractional positions:
La 0.300 0.930 0.601
La 0.015 0.827 0.094
La 0.199 0.330 0.399
La 0.421 0.733 0.906
La 0.700 0.070 0.399
La 0.801 0.670 0.601
La 0.985 0.173 0.906
La 0.579 0.267 0.094
Ag 0.368 0.618 0.235
Ag 0.632 0.382 0.765
C 0.824 0.074 0.148
C 0.176 0.926 0.852

Computed properties:
DOS(E_F)	15.24	states/eV/cell
calculated total energy	-64.5	eV per cell
space-group type	No. 15

***

Among the records above, which one has the highest DOS(E_F)?
La4AgC

***

Number 1 is which compound?
InCu2Cl8

***

Repeat the first record exactly.
Computed, not measured: crystalline InCu2Cl8 at its relaxed geometry at the PBE level of DFT.

Cell: 6.368 7.580 7.580 Å, 89.65 76.10 76.10°
Fractional positions:
In 0.000 0.000 0.000
Cu 0.341 0.189 0.189
Cu 0.659 0.811 0.811
Cl 0.809 0.055 0.741
Cl 0.191 0.259 0.945
Cl 0.659 0.225 0.225
Cl 0.341 0.775 0.775
Cl 0.809 0.741 0.055
Cl 0.191 0.945 0.259
Cl 0.163 0.425 0.425
Cl 0.837 0.575 0.575

Computed properties:
DOS(E_F)	7.55	states/eV/cell
E_form (uncorrected)	-0.59	eV/atom
space-group type	No. 12